Entry from Alexandria: crystalline Ta2ZnC at its relaxed geometry (GGA-PBE).

Unit cell a=3.110 b=3.110 c=7.149 alpha=77.44 beta=77.44 gamma=60.00
Fractional positions:
Ta 0.274 0.274 0.178
C 0.000 0.000 0.000
Zn 0.500 0.500 0.500
Ta 0.726 0.726 0.822

Computed properties:
DFT formation energy = -0.363 eV per atom